Entry 1:
Entry from the Alexandria database: an optimized crystal structure of Zr2TaSb (PBE).

Properties
The calculation puts the total magnetization at 0.000 μB per cell. The calculation puts the formation energy without anion corrections at -0.02 eV per atom.

Lattice parameters (Å, degrees): 3.3084 3.3084 28.1062 90.00 90.00 120.00
With the nearest neighbours (Å) after each atom.
Fractional coordinates of all 12 atoms:
Zr 0.0000 0.0000 0.2488  3 Ta 3.00, 3 Sb 3.05, 6 Zr 3.31
Zr 0.0000 0.0000 0.7512  3 Ta 3.00, 3 Sb 3.05, 6 Zr 3.31
Zr 0.3333 0.6667 0.4179  3 Ta 3.00, 3 Sb 3.05, 6 Zr 3.31
Zr 0.3333 0.6667 0.9154  3 Ta 3.00, 3 Sb 3.05, 6 Zr 3.31
Zr 0.6667 0.3333 0.0846  3 Ta 3.00, 3 Sb 3.05, 6 Zr 3.31
Zr 0.6667 0.3333 0.5821  3 Ta 3.00, 3 Sb 3.05, 6 Zr 3.31
Ta 0.0000 0.0000 0.5000  6 Zr 3.00, 6 Ta 3.31
Ta 0.3333 0.6667 0.1667  6 Zr 3.00, 6 Ta 3.31
Ta 0.6667 0.3333 0.8333  6 Zr 3.00, 6 Ta 3.31
Sb 0.0000 0.0000 0.0000  6 Zr 3.05, 6 Sb 3.31
Sb 0.3333 0.6667 0.6667  6 Zr 3.05, 6 Sb 3.31
Sb 0.6667 0.3333 0.3333  6 Zr 3.05, 6 Sb 3.31

Entry 2:
Entry from the Alexandria database: an optimized crystal structure of CdIr (PBE).

Properties
The energy of formation from the pure elements comes out at 131 meV per atom. The calculation puts the total magnetization at 0.000 μB per cell.

Lattice parameters (Å, degrees): 10.6087 2.8670 5.0007 90.00 114.34 90.00
With the nearest neighbours (Å) after each atom.
Fractional coordinates of all 8 atoms:
Cd 0.1077 0.0000 0.2989  7 Ir 2.84-2.98, 3 Cd 2.87-2.92
Cd 0.3923 0.5000 0.7011  7 Ir 2.84-2.98, 3 Cd 2.87-2.92
Cd 0.6077 0.5000 0.2989  7 Ir 2.84-2.98, 3 Cd 2.87-2.92
Cd 0.8923 0.0000 0.7011  7 Ir 2.84-2.98, 3 Cd 2.87-2.92
Ir 0.1476 0.5000 0.8169  4 Ir 2.62-2.87, 5 Cd 2.84-2.90
Ir 0.3524 0.0000 0.1831  4 Ir 2.62-2.87, 5 Cd 2.84-2.90
Ir 0.6476 0.0000 0.8169  4 Ir 2.62-2.87, 5 Cd 2.84-2.90
Ir 0.8524 0.5000 0.1831  4 Ir 2.62-2.87, 5 Cd 2.84-2.90

Entry 3:
Entry from the Alexandria database: an optimized crystal structure of OsAuSe2 (PBE).

Properties
The calculation puts the total magnetization at 0.000 μB per cell. The calculation puts the formation energy without anion corrections at 0.28 eV per atom.

Lattice parameters (Å, degrees): 10.3225 3.0760 6.2719 90.00 111.45 90.00
With the nearest neighbours (Å) after each atom.
Fractional coordinates of all 8 atoms:
Os 0.0000 0.0000 0.0000  4 Se 2.42-2.47
Os 0.5000 0.5000 0.0000  4 Se 2.42-2.47
Au 0.3054 0.0000 0.0956  2 Se 2.75, 3 Os 2.76-2.99, 2 Au 3.08
Au 0.8054 0.5000 0.0956  2 Se 2.75, 3 Os 2.76-2.99, 2 Au 3.08
Se 0.1557 0.5000 0.2886  2 Os 2.47, 2 Au 2.75
Se 0.4863 0.0000 0.6945  2 Os 2.42
Se 0.6557 0.0000 0.2886  2 Os 2.47, 2 Au 2.75
Se 0.9863 0.5000 0.6945  2 Os 2.42

Copy entry 3 word for word.
Entry from the Alexandria database: an optimized crystal structure of OsAuSe2 (PBE).

Properties
The calculation puts the total magnetization at 0.000 μB per cell. The calculation puts the formation energy without anion corrections at 0.28 eV per atom.

Lattice parameters (Å, degrees): 10.3225 3.0760 6.2719 90.00 111.45 90.00
With the nearest neighbours (Å) after each atom.
Fractional coordinates of all 8 atoms:
Os 0.0000 0.0000 0.0000  4 Se 2.42-2.47
Os 0.5000 0.5000 0.0000  4 Se 2.42-2.47
Au 0.3054 0.0000 0.0956  2 Se 2.75, 3 Os 2.76-2.99, 2 Au 3.08
Au 0.8054 0.5000 0.0956  2 Se 2.75, 3 Os 2.76-2.99, 2 Au 3.08
Se 0.1557 0.5000 0.2886  2 Os 2.47, 2 Au 2.75
Se 0.4863 0.0000 0.6945  2 Os 2.42
Se 0.6557 0.0000 0.2886  2 Os 2.47, 2 Au 2.75
Se 0.9863 0.5000 0.6945  2 Os 2.42

Repeat the second record exactly.
Entry from the Alexandria database: an optimized crystal structure of CdIr (PBE).

Properties
The energy of formation from the pure elements comes out at 131 meV per atom. The calculation puts the total magnetization at 0.000 μB per cell.

Lattice parameters (Å, degrees): 10.6087 2.8670 5.0007 90.00 114.34 90.00
With the nearest neighbours (Å) after each atom.
Fractional coordinates of all 8 atoms:
Cd 0.1077 0.0000 0.2989  7 Ir 2.84-2.98, 3 Cd 2.87-2.92
Cd 0.3923 0.5000 0.7011  7 Ir 2.84-2.98, 3 Cd 2.87-2.92
Cd 0.6077 0.5000 0.2989  7 Ir 2.84-2.98, 3 Cd 2.87-2.92
Cd 0.8923 0.0000 0.7011  7 Ir 2.84-2.98, 3 Cd 2.87-2.92
Ir 0.1476 0.5000 0.8169  4 Ir 2.62-2.87, 5 Cd 2.84-2.90
Ir 0.3524 0.0000 0.1831  4 Ir 2.62-2.87, 5 Cd 2.84-2.90
Ir 0.6476 0.0000 0.8169  4 Ir 2.62-2.87, 5 Cd 2.84-2.90
Ir 0.8524 0.5000 0.1831  4 Ir 2.62-2.87, 5 Cd 2.84-2.90